Entry 1:
This record from Alexandria describes ZrPdI3 after structural relaxation. The functional is PBE.

Polymorph energy (0 for the lowest one) (eV per atom): 0.000
DFT total energy (eV per atom): -3.611
M_tot (μB/cell): 0.00

Unit cell a=5.701 b=5.701 c=5.701 alpha=90.00 beta=90.00 gamma=90.00
Space group Pm-3m (No. 221)
Symmetry-distinct sites (fractional):
Zr (0.000, 0.000, 0.000) (multiplicity 1)
Pd (0.500, 0.500, 0.500) (multiplicity 1)
I (0.000, 0.000, 0.500) (multiplicity 3)

***

Entry 2:
This record from Alexandria describes Zr2PdI after structural relaxation. The functional is PBE.

Polymorph energy (0 for the lowest one) (eV per atom): 0.000
DFT total energy (eV per atom): -6.116
M_tot (μB/cell): 0.00

Unit cell a=6.947 b=6.947 c=6.947 alpha=90.00 beta=90.00 gamma=90.00
Space group Fm-3m (No. 225)
Symmetry-distinct sites (fractional):
Zr (0.250, 0.250, 0.250) (multiplicity 8)
Pd (0.000, 0.000, 0.000) (multiplicity 4)
I (0.000, 0.000, 0.500) (multiplicity 4)